A plane-wave DFT calculation with GGA-PBEsol was carried out for LaAl2Te after structural relaxation. Values from VASP.

```
&SYSTEM
  ibrav = 0, nat = 8, ntyp = 3
/
ATOMIC_SPECIES
Al 26.98 Al.upf
La 138.91 La.upf
Te 127.60 Te.upf
ATOMIC_POSITIONS crystal
Al 0.598 0.027 0.527
Al 0.875 0.527 0.973
Al 0.152 0.973 0.473
Al 0.375 0.473 0.027
La 0.000 0.000 0.000
La 0.750 0.500 0.500
Te 0.500 0.000 0.000
Te 0.250 0.500 0.500
CELL_PARAMETERS angstrom
-5.103 0.597 -3.432
-3.212 -5.516 -1.745
-5.784 0.642 3.150
```

## Properties
Final energy, eV per atom: -4.455
SG: No. 122
Total moment, μB/f.u.: 0.00
E_form (uncorrected), eV/atom: -0.19

=====

A plane-wave DFT calculation with GGA-PBEsol was carried out for LaTi2Al20 after structural relaxation. Values from VASP.

```
&SYSTEM
  ibrav = 0, nat = 46, ntyp = 3
/
ATOMIC_SPECIES
Ti 47.87 Ti.upf
Al 26.98 Al.upf
La 138.91 La.upf
ATOMIC_POSITIONS crystal
Ti 0.625 0.625 0.625
Ti 0.625 0.125 0.625
Ti 0.125 0.625 0.625
Ti 0.625 0.625 0.125
Al 0.612 0.888 0.888
Al 0.333 0.069 0.799
Al 0.451 0.917 0.451
Al 0.451 0.451 0.181
Al 0.069 0.333 0.799
Al 0.917 0.451 0.181
Al 0.638 0.362 0.362
Al 0.799 0.799 0.069
Al 0.888 0.612 0.888
Al 0.625 0.125 0.125
Al 0.362 0.362 0.638
Al 0.799 0.069 0.799
Al 0.125 0.125 0.625
Al 0.917 0.451 0.451
Al 0.612 0.612 0.888
Al 0.333 0.799 0.799
Al 0.069 0.799 0.333
Al 0.638 0.362 0.638
Al 0.799 0.333 0.799
Al 0.333 0.799 0.069
Al 0.638 0.638 0.362
Al 0.181 0.451 0.917
Al 0.181 0.917 0.451
Al 0.799 0.799 0.333
Al 0.451 0.181 0.451
Al 0.888 0.888 0.612
Al 0.362 0.638 0.638
Al 0.799 0.333 0.069
Al 0.069 0.799 0.799
Al 0.888 0.612 0.612
Al 0.125 0.625 0.125
Al 0.125 0.125 0.125
Al 0.612 0.888 0.612
Al 0.451 0.917 0.181
Al 0.917 0.181 0.451
Al 0.799 0.069 0.333
Al 0.362 0.638 0.362
Al 0.181 0.451 0.451
Al 0.451 0.451 0.917
Al 0.451 0.181 0.917
La 0.250 0.250 0.250
La 0.000 0.000 0.000
CELL_PARAMETERS angstrom
-6.809 -7.796 -0.059
2.489 -9.079 4.303
-4.545 -2.969 8.813
```

## Properties
Final energy, eV per atom: -4.762
E_form, eV per atom: -0.2480
SG: No. 227
Total moment, μB/f.u.: 0.00

=====

A plane-wave DFT calculation with GGA-PBEsol was carried out for LaAlTl after structural relaxation. Values from VASP.

```
&SYSTEM
  ibrav = 0, nat = 3, ntyp = 3
/
ATOMIC_SPECIES
La 138.91 La.upf
Tl 204.38 Tl.upf
Al 26.98 Al.upf
ATOMIC_POSITIONS crystal
La 0.666 0.667 0.333
Tl 0.166 0.333 0.667
Al 0.168 0.000 0.000
CELL_PARAMETERS angstrom
-0.419 3.149 2.144
0.777 -2.590 3.954
3.680 2.046 -2.284
```

## Properties
Final energy, eV per atom: -4.412
E_form, eV per atom: -0.3895
SG: No. 156
Total moment, μB/f.u.: 0.00

=====

A plane-wave DFT calculation with GGA-PBEsol was carried out for LaAl2Tl2 after structural relaxation. Values from VASP.

```
&SYSTEM
  ibrav = 0, nat = 5, ntyp = 3
/
ATOMIC_SPECIES
Al 26.98 Al.upf
Tl 204.38 Tl.upf
La 138.91 La.upf
ATOMIC_POSITIONS crystal
Al 0.750 0.250 0.500
Al 0.250 0.750 0.500
Tl 0.384 0.384 0.769
Tl 0.616 0.616 0.231
La 0.000 0.000 0.000
CELL_PARAMETERS angstrom
4.412 0.000 0.000
0.000 4.412 0.000
-2.206 -2.206 6.234
```

## Properties
Final energy, eV per atom: -3.882
E_form, eV per atom: -0.1241
SG: No. 139
Total moment, μB/f.u.: 0.00

=====

A plane-wave DFT calculation with GGA-PBEsol was carried out for LaAl20V2 after structural relaxation. Values from VASP.

```
&SYSTEM
  ibrav = 0, nat = 46, ntyp = 3
/
ATOMIC_SPECIES
Al 26.98 Al.upf
La 138.91 La.upf
V 50.94 V.upf
ATOMIC_POSITIONS crystal
Al 0.362 0.638 0.362
Al 0.799 0.334 0.068
Al 0.612 0.612 0.888
Al 0.125 0.125 0.125
Al 0.451 0.451 0.916
Al 0.068 0.799 0.799
Al 0.451 0.916 0.451
Al 0.334 0.799 0.068
Al 0.068 0.799 0.334
Al 0.451 0.182 0.916
Al 0.625 0.125 0.125
Al 0.799 0.799 0.068
Al 0.182 0.451 0.451
Al 0.799 0.334 0.799
Al 0.916 0.451 0.451
Al 0.638 0.638 0.362
Al 0.916 0.182 0.451
Al 0.451 0.182 0.451
Al 0.182 0.451 0.916
Al 0.638 0.362 0.638
Al 0.125 0.625 0.125
Al 0.638 0.362 0.362
Al 0.451 0.451 0.182
Al 0.362 0.638 0.638
Al 0.612 0.888 0.888
Al 0.612 0.888 0.612
Al 0.451 0.916 0.182
Al 0.888 0.888 0.612
Al 0.125 0.125 0.625
Al 0.362 0.362 0.638
Al 0.068 0.334 0.799
Al 0.888 0.612 0.888
Al 0.334 0.799 0.799
Al 0.334 0.068 0.799
Al 0.888 0.612 0.612
Al 0.799 0.068 0.334
Al 0.799 0.799 0.334
Al 0.916 0.451 0.182
Al 0.799 0.068 0.799
Al 0.182 0.916 0.451
La 0.000 0.000 0.000
La 0.250 0.250 0.250
V 0.125 0.625 0.625
V 0.625 0.625 0.625
V 0.625 0.625 0.125
V 0.625 0.125 0.625
CELL_PARAMETERS angstrom
10.242 0.000 0.000
5.121 8.870 0.000
5.121 2.957 8.363
```

## Properties
Final energy, eV per atom: -4.842
E_form, eV per atom: -0.2137
SG: No. 227
Total moment, μB/f.u.: 0.00

=====

A plane-wave DFT calculation with GGA-PBEsol was carried out for LaAlW after structural relaxation. Values from VASP.

```
&SYSTEM
  ibrav = 0, nat = 3, ntyp = 3
/
ATOMIC_SPECIES
W 183.84 W.upf
La 138.91 La.upf
Al 26.98 Al.upf
ATOMIC_POSITIONS crystal
W 0.373 0.373 0.746
La 0.670 0.670 0.340
Al 0.957 0.957 0.914
CELL_PARAMETERS angstrom
-0.090 2.792 -1.681
-3.627 0.352 0.780
3.064 1.112 4.845
```

## Properties
Final energy, eV per atom: -7.389
Energy above the lowest structure with this stoichiometry, kJ/mol of atoms: 3.2
E_form, eV per atom: 0.3591
SG: No. 44
Total moment, μB/f.u.: 0.00